! PmPuOs4 (PBE, relaxed); values from VASP
! Total moment ... 3.7 μB/cell
! Space-group type ... F-43m
! Calculated total energy ... -0.3962 hartree per atom
&SYSTEM
  ibrav = 0, nat = 6, ntyp = 3
/
ATOMIC_SPECIES
Pm 145.00 Pm.upf
Pu 244.00 Pu.upf
Os 190.23 Os.upf
CELL_PARAMETERS angstrom
0.0000 3.8073 3.8073
3.8073 0.0000 3.8073
3.8073 3.8073 0.0000
ATOMIC_POSITIONS crystal
Pm 0.0000 0.0000 0.0000
Pu 0.2500 0.2500 0.2500
Os 0.1257 0.6248 0.6248
Os 0.6248 0.1257 0.6248
Os 0.6248 0.6248 0.1257
Os 0.6248 0.6248 0.6248